[1]
Here is a relaxed CaHo6 crystal from Alexandria via LeMat-Bulk. Energies are from PBE-GGA.

Cell and atoms, written as POSCAR:
```
CaHo6
1.0
-0.747 7.144 -0.869
-5.131 -3.438 -3.768
-0.640 -1.656 7.014
Ca Ho
1 6
Direct
0.000 0.000 0.000
0.250 0.750 0.500
0.500 0.750 0.250
0.250 0.500 0.750
0.750 0.250 0.500
0.500 0.250 0.750
0.750 0.500 0.250
```

Values from the calculation:
* formation enthalpy at 0 K: 10.0 eV/f.u.
* crystal system: cubic
* final energy: -0.2044 Ry per atom
* total magnetic moment: 0.0 μB per formula unit
* V: 41.6 Å³ per atom

***

[2]
Here is a relaxed PrEr5In crystal from Alexandria via LeMat-Bulk. Energies are from PBE-GGA.

Cell and atoms, written as POSCAR:
```
PrEr5In
1.0
6.232 0.000 0.000
0.000 7.901 0.000
-3.116 -3.950 5.710
Pr Er In
1 5 1
Direct
0.821 0.000 0.000
0.485 0.254 0.507
0.035 0.500 0.000
0.977 0.746 0.493
0.324 0.813 0.000
0.324 0.187 0.000
0.564 0.500 0.000
```

Values from the calculation:
* formation enthalpy at 0 K: 4.9 eV/f.u.
* crystal system: orthorhombic
* final energy: -0.2674 Ry per atom
* total magnetic moment: 0.0 μB per formula unit
* V: 40.2 Å³ per atom